First-principles (PBE with a Hubbard U) data for a geometry-optimized Pm2CoPdO6 structure, as listed in the Alexandria database.

a = 5.422 Å, b = 5.828 Å, c = 7.772 Å
α = 90.00°, β = 89.99°, γ = 90.00°
Each line ends with the local moment (μB).
Sites, in units of the cell vectors:
Pm 0.021 0.929 0.250  0.01
Pm 0.521 0.571 0.750  0.01
Pm 0.979 0.071 0.750  0.01
Pm 0.479 0.429 0.250  0.01
Co 0.500 0.000 0.000  2.65
Co 0.000 0.500 0.500  2.65
Pd 0.500 0.000 0.500  0.07
Pd 0.000 0.500 0.000  0.07
O 0.308 0.695 0.053  0.04
O 0.808 0.805 0.553  0.04
O 0.692 0.305 0.947  0.04
O 0.192 0.195 0.447  0.04
O 0.309 0.700 0.446  0.05
O 0.809 0.800 0.946  0.05
O 0.691 0.300 0.554  0.05
O 0.191 0.200 0.054  0.05
O 0.894 0.536 0.252  0.05
O 0.394 0.964 0.752  0.05
O 0.106 0.464 0.748  0.05
O 0.606 0.036 0.248  0.05

Output
Total energy = -7.05 eV per atom
ρ = 7.456 g/cm³